(1)
## RbTiPbCl6 (PBE)

Data for a geometry-optimized RbTiPbCl6 structure.

a = 7.103 Å, b = 7.103 Å, c = 7.025 Å
α = 90.01°, β = 89.99°, γ = 59.99°
Last column: magnetic moment on the atom in μB.
Element x y z (fractional)
Cl: 0.345 0.607 0.296  -0.01
Cl: 0.608 0.048 0.296  -0.01
Cl: 0.048 0.608 0.704  -0.01
Cl: 0.048 0.344 0.296  -0.01
Cl: 0.607 0.345 0.704  -0.01
Cl: 0.344 0.048 0.704  -0.01
Rb: 0.000 0.000 0.000  0.00
Ti: 0.333 0.333 0.500  0.91
Pb: 0.667 0.667 0.500  0.01

Properties
Space group: No. 149
Volume: 34.1 A^3/atom
Total magnetization: 1.000 μB/f.u.
Formation energy (no corrections): -1.5365 eV per atom

(2)
## TbPr6Er12 (PBE)

Data for a geometry-optimized TbPr6Er12 structure.

a = 8.734 Å, b = 8.734 Å, c = 8.734 Å
α = 98.68°, β = 98.68°, γ = 98.68°
Element x y z (fractional)
Pr: 0.098 0.098 0.656
Pr: 0.656 0.098 0.098
Pr: 0.344 0.902 0.902
Pr: 0.902 0.344 0.902
Pr: 0.098 0.656 0.098
Pr: 0.902 0.902 0.344
Er: 0.355 0.355 0.081
Er: 0.500 0.756 0.244
Er: 0.244 0.756 0.500
Er: 0.645 0.919 0.645
Er: 0.756 0.244 0.500
Er: 0.355 0.081 0.355
Er: 0.244 0.500 0.756
Er: 0.081 0.355 0.355
Er: 0.756 0.500 0.244
Er: 0.919 0.645 0.645
Er: 0.500 0.244 0.756
Er: 0.645 0.645 0.919
Tb: 0.000 0.000 0.000

Properties
Energy above the most stable polymorph in this dataset: 0 meV per atom
Space group: No. 166
Volume: 33.7 A^3/atom
Total magnetization: 0.001 μB/f.u.
E_form: 0.2206 eV per atom

(3)
## Cu2MoI (PBE)

Data for a geometry-optimized Cu2MoI structure.

a = 7.401 Å, b = 7.401 Å, c = 5.873 Å
α = 50.94°, β = 50.94°, γ = 90.00°
Last column: magnetic moment on the atom in μB.
Element x y z (fractional)
Mo: 0.250 0.750 0.500  1.56
Mo: 0.500 0.500 0.000  1.57
Cu: 0.375 0.380 0.750  0.06
Cu: 0.130 0.625 0.250  0.05
Cu: 0.875 0.870 0.750  0.06
Cu: 0.620 0.125 0.250  0.05
I: 0.750 0.250 0.500  0.05
I: 0.000 0.000 0.000  0.05

Properties
Energy above the most stable polymorph in this dataset: 0 meV per atom
Space group: No. 122
Volume: 18.2 A^3/atom
Total magnetization: 1.903 μB/f.u.
Formation energy (no corrections): 0.9681 eV per atom

| no. | ρ (g/cm³) |
| --- | --- |
| 1 | 2.993 |
| 2 | 7.804 |
| 3 | 7.962 |